# CaHoZn2Au4 GGA-PBE optimized geometry
data_CaHoZn2Au4
_symmetry_space_group_name_H-M 'P 1'
_symmetry_Int_Tables_number 1
_symmetry_space_group_name_Hall 'P 1'
_cell_length_a 8.194
_cell_length_b 8.194
_cell_length_c 8.194
_cell_angle_alpha 34.88
_cell_angle_beta 34.88
_cell_angle_gamma 34.88
loop_
_atom_site_label
_atom_site_type_symbol
_atom_site_fract_x
_atom_site_fract_y
_atom_site_fract_z
Ca1 Ca 0.000 0.000 0.000
Ho1 Ho 0.500 0.500 0.500
Zn1 Zn 0.252 0.252 0.252
Zn2 Zn 0.748 0.748 0.748
Au1 Au 0.131 0.131 0.131
Au2 Au 0.373 0.373 0.373
Au3 Au 0.627 0.627 0.627
Au4 Au 0.869 0.869 0.869
# N(E_F), states/eV per atom: 0.412
# Energy of formation from the pure elements, kJ/mol of atoms: -55.2